Entry 1:
## K4SmY3Te8 (PBE-GGA)

Data for a relaxed K4SmY3Te8 crystal.

Cell: 9.035 9.760 9.036 Å, 117.60 120.00 90.00°
Element x y z (fractional)
K (0.500, 0.000, 0.000)
K (0.500, 0.000, 0.500)
K (0.000, 0.000, 0.000)
K (0.000, 0.000, 0.500)
Sm (0.000, 0.500, 0.000)
Y (0.500, 0.500, 0.000)
Y (0.500, 0.500, 0.500)
Y (0.000, 0.500, 0.500)
Te (0.239, 0.710, 0.972)
Te (0.239, 0.710, 0.477)
Te (0.264, 0.292, 0.528)
Te (0.733, 0.710, 0.972)
Te (0.267, 0.290, 0.028)
Te (0.736, 0.708, 0.472)
Te (0.761, 0.290, 0.523)
Te (0.761, 0.290, 0.028)

Formation energy without anion corrections: -32.56 kcal/mol of atoms
Uncorrected energy: -4.76 eV per atom

Entry 2:
## BaRe2 (PBE-GGA)

Data for a relaxed BaRe2 crystal.

Cell: 4.183 4.183 5.434 Å, 90.00 90.00 120.00°
Element x y z (fractional)
Re (0.333, 0.667, 0.475)
Re (0.667, 0.333, 0.525)
Ba (0.000, 0.000, 0.000)

Relative energy among the computed polymorphs: 50 meV/atom
Energy of formation: 0.717 eV/atom
Uncorrected energy: -8.22 eV per atom

Entry 3:
## CrSiPCl2 (PBE-GGA)

Data for a relaxed CrSiPCl2 crystal.

Cell: 4.579 4.579 4.998 Å, 90.00 90.00 90.00°
Each line ends with the local moment (μB).
Element x y z (fractional)
Cr (0.000, 0.000, 0.000)  3.01
Si (0.500, 0.500, 0.500)  0.08
P (0.000, 0.000, 0.500)  -0.23
Cl (0.000, 0.500, 0.000)  -0.01
Cl (0.500, 0.000, 0.000)  -0.01

Relative energy among the computed polymorphs: 0 meV/atom
Formation energy without anion corrections: 5.55 kcal/mol of atoms
Uncorrected energy: -4.59 eV per atom

Entry 4:
## NaYO (PBE-GGA)

Data for a relaxed NaYO crystal.

Cell: 3.679 3.679 18.536 Å, 90.00 90.00 120.00°
Element x y z (fractional)
Na (0.000, 0.000, 0.464)
Na (0.333, 0.667, 0.131)
Na (0.667, 0.333, 0.798)
Y (0.000, 0.000, 0.968)
Y (0.333, 0.667, 0.634)
Y (0.667, 0.333, 0.301)
O (0.000, 0.000, 0.599)
O (0.333, 0.667, 0.265)
O (0.667, 0.333, 0.932)

Relative energy among the computed polymorphs: 23 meV/atom
Formation energy without anion corrections: -39.75 kcal/mol of atoms
Uncorrected energy: -5.97 eV per atom

Entry 5:
## Hf3HRh (PBE-GGA)

Data for a relaxed Hf3HRh crystal.

Cell: 5.664 5.664 7.056 Å, 66.34 66.34 60.00°
Element x y z (fractional)
Hf (0.771, 0.422, 0.703)
Hf (0.105, 0.771, 0.703)
Hf (0.422, 0.105, 0.703)
Hf (0.229, 0.578, 0.297)
Hf (0.895, 0.229, 0.297)
Hf (0.578, 0.895, 0.297)
H (0.840, 0.840, 0.479)
H (0.160, 0.160, 0.521)
Rh (0.332, 0.332, 0.003)
Rh (0.668, 0.668, 0.997)

Relative energy among the computed polymorphs: 29 meV/atom
Uncorrected energy: -8.36 eV per atom

Entry 6:
## In2MoW (PBE-GGA)

Data for a relaxed In2MoW crystal.

Cell: 5.361 5.361 2.844 Å, 90.00 90.00 115.38°
Element x y z (fractional)
In (0.000, 0.000, 0.000)
In (0.500, 0.500, 0.000)
Mo (0.500, 0.000, 0.500)
W (0.000, 0.500, 0.500)

Relative energy among the computed polymorphs: 347 meV/atom
Energy of formation: 0.644 eV/atom
Uncorrected energy: -6.67 eV per atom

Entry 7:
## TiH2IrRh (PBE-GGA)

Data for a relaxed TiH2IrRh crystal.

Cell: 3.457 5.233 3.457 Å, 90.00 90.00 90.00°
Element x y z (fractional)
H (0.000, 0.000, 0.500)
H (0.500, 0.000, 0.000)
Ir (0.000, 0.500, 0.000)
Rh (0.000, 0.000, 0.000)
Ti (0.500, 0.500, 0.500)

Uncorrected energy: -6.00 eV per atom

Entry 8:
## Cs2K6S (PBE-GGA)

Data for a relaxed Cs2K6S crystal.

Cell: 9.432 9.432 9.958 Å, 61.73 61.73 60.00°
Element x y z (fractional)
Cs (0.224, 0.224, 0.328)
Cs (0.419, 0.419, 0.742)
K (0.747, 0.283, 0.223)
K (0.283, 0.747, 0.223)
K (0.747, 0.747, 0.223)
K (0.455, 0.895, 0.754)
K (0.895, 0.895, 0.754)
K (0.895, 0.455, 0.754)
S (0.668, 0.668, 0.996)

Formation energy without anion corrections: -6.19 kcal/mol of atoms
Uncorrected energy: -1.65 eV per atom

Entry 9:
## Ba2Li7 (PBE-GGA)

Data for a relaxed Ba2Li7 crystal.

Cell: 6.513 6.513 15.381 Å, 77.78 77.78 60.00°
Element x y z (fractional)
Ba (0.052, 0.052, 0.844)
Ba (0.948, 0.948, 0.156)
Ba (0.150, 0.150, 0.551)
Ba (0.850, 0.850, 0.449)
Li (0.500, 0.500, 0.500)
Li (0.279, 0.279, 0.163)
Li (0.721, 0.721, 0.837)
Li (0.386, 0.386, 0.841)
Li (0.614, 0.614, 0.159)
Li (0.500, 0.000, 0.000)
Li (0.000, 0.500, 0.000)
Li (0.500, 0.500, 0.000)
Li (0.605, 0.605, 0.678)
Li (0.605, 0.111, 0.678)
Li (0.111, 0.605, 0.678)
Li (0.395, 0.395, 0.322)
Li (0.395, 0.889, 0.322)
Li (0.889, 0.395, 0.322)

Energy of formation: 0.027 eV/atom
Uncorrected energy: -1.89 eV per atom

Entry 10:
## Sm8Bi3SbTe4 (PBE-GGA)

Data for a relaxed Sm8Bi3SbTe4 crystal.

Cell: 9.005 8.975 9.005 Å, 120.11 120.00 90.00°
Element x y z (fractional)
Sm (0.246, 0.745, 0.999)
Sm (0.246, 0.745, 0.492)
Sm (0.250, 0.251, 0.501)
Sm (0.753, 0.745, 0.999)
Sm (0.247, 0.255, 0.001)
Sm (0.750, 0.749, 0.499)
Sm (0.754, 0.255, 0.508)
Sm (0.754, 0.255, 0.001)
Bi (0.500, 0.500, 0.000)
Bi (0.500, 0.500, 0.500)
Bi (0.000, 0.500, 0.500)
Sb (0.000, 0.500, 0.000)
Te (0.500, 0.000, 0.000)
Te (0.500, 0.000, 0.500)
Te (0.000, 0.000, 0.000)
Te (0.000, 0.000, 0.500)

Formation energy without anion corrections: -27.92 kcal/mol of atoms
Uncorrected energy: -5.34 eV per atom

Entry 11:
## Tl5Te2Se2 (PBE-GGA)

Data for a relaxed Tl5Te2Se2 crystal.

Cell: 7.210 8.655 11.752 Å, 111.61 107.86 90.00°
Element x y z (fractional)
Tl (0.212, 0.301, 0.805)
Tl (0.407, 0.699, 0.195)
Tl (0.712, 0.004, 0.805)
Tl (0.907, 0.996, 0.195)
Tl (0.295, 0.359, 0.287)
Tl (0.008, 0.641, 0.713)
Tl (0.795, 0.428, 0.287)
Tl (0.508, 0.572, 0.713)
Tl (0.656, 0.139, 0.500)
Tl (0.156, 0.861, 0.500)
Te (0.126, 0.000, 0.000)
Te (0.626, 0.500, 0.000)
Te (0.167, 0.251, 0.500)
Te (0.667, 0.749, 0.500)
Se (0.493, 0.033, 0.192)
Se (0.300, 0.967, 0.808)
Se (0.993, 0.659, 0.192)
Se (0.800, 0.341, 0.808)

Formation energy without anion corrections: -4.85 kcal/mol of atoms
Uncorrected energy: -3.00 eV per atom

Entry 12:
## SmMnSe (PBE-GGA)

Data for a relaxed SmMnSe crystal.

Cell: 3.944 3.944 11.562 Å, 80.18 80.18 60.00°
Element x y z (fractional)
Sm (0.568, 0.568, 0.295)
Sm (0.432, 0.432, 0.705)
Se (0.282, 0.282, 0.153)
Se (0.718, 0.718, 0.847)
Mn (0.831, 0.831, 0.506)
Mn (0.169, 0.169, 0.494)

Formation energy without anion corrections: -11.17 kcal/mol of atoms
Uncorrected energy: -6.28 eV per atom